No. 1
A relaxed structure of Na2PaCrN4, computed with PBE.

Properties
total DFT energy (no corrections) = -7.549 eV per atom
E_form (uncorrected) = -0.666 eV per atom
Fermi-level density of states = 5.29 states/eV/f.u.

Lattice parameters (Å, degrees): 6.601 7.432 4.825 90.00 90.00 90.00
Positions (direct):
Na 0.246 0.126 0.000
Na 0.254 0.874 0.500
Na 0.746 0.874 0.500
Na 0.754 0.126 0.000
Pa 0.000 0.392 0.507
Pa 0.500 0.608 0.007
Cr 0.000 0.690 0.947
Cr 0.500 0.310 0.447
N 0.000 0.446 0.005
N 0.000 0.668 0.581
N 0.240 0.797 0.013
N 0.260 0.203 0.513
N 0.500 0.332 0.081
N 0.500 0.554 0.505
N 0.740 0.203 0.513
N 0.760 0.797 0.013

---

No. 2
A relaxed structure of NaPaCrN4, computed with PBE.

Properties
total DFT energy (no corrections) = -8.463 eV per atom
E_form (uncorrected) = -0.786 eV per atom

Lattice parameters (Å, degrees): 5.894 5.446 7.167 90.00 92.92 90.00
Positions (direct):
Na 0.114 0.250 0.376
Na 0.886 0.750 0.624
Pa 0.286 0.250 0.927
Pa 0.714 0.750 0.073
Cr 0.216 0.750 0.165
Cr 0.784 0.250 0.835
N 0.020 0.250 0.697
N 0.076 0.750 0.950
N 0.406 0.506 0.172
N 0.406 0.994 0.172
N 0.594 0.006 0.828
N 0.594 0.494 0.828
N 0.924 0.250 0.050
N 0.980 0.750 0.303

---

No. 3
A relaxed structure of NaPaCrN3, computed with PBE.

Properties
total DFT energy (no corrections) = -8.470 eV per atom
E_form (uncorrected) = -0.901 eV per atom
Fermi-level density of states = 2.04 states/eV/f.u.

Lattice parameters (Å, degrees): 6.972 6.972 6.797 104.81 104.81 30.70
Positions (direct):
Na 0.133 0.133 0.074
Na 0.867 0.867 0.926
Pa 0.161 0.161 0.607
Pa 0.839 0.839 0.393
Cr 0.495 0.495 0.668
Cr 0.505 0.505 0.332
N 0.007 0.007 0.305
N 0.335 0.335 0.613
N 0.352 0.352 0.205
N 0.648 0.648 0.795
N 0.665 0.665 0.387
N 0.993 0.993 0.695